CdFeTc | SCAN | single point on PBEsol structure

```
CdFeTc
1.0
4.383 0.000 0.000
-2.191 3.796 0.000
0.000 0.000 2.634
Cd Fe Tc
1 1 1
direct
0.000 0.000 0.000
0.667 0.333 0.357
0.333 0.667 0.554
```

The space group is No. 156. For the density of states at the Fermi level, the calculation gives 0.80 states/eV/atom. Its energy is -82.39 eV for the cell shown.